CaAc3Ni | Alexandria | GGA-PBE | optimized geometry; ΔE to the lowest computed polymorph = 0.06 eV per formula unit; total magnetization = 0.002 μB per formula unit; E_form = -0.24 eV per formula unit; space group = No. 221; V = 39.85 Å³ per atom; ρ = 6.5 g/cm3
1.0
5.841 0.000 0.000
0.000 5.841 0.000
0.000 0.000 5.841
Ni Ac Ca
1 3 1
direct
0.000 0.000 0.000
0.000 0.500 0.000
0.000 0.000 0.500
0.500 0.000 0.000
0.500 0.500 0.500